Computed, not measured: a relaxed NdHfPd crystal at the GGA-PBE level of DFT.

Calculated values
- Magnetization: 0.04 μB per atom
- Excess energy over the best structure of this formula in the dataset: 0.0 meV per atom
- VASP energy: -6.696 eV per atom

Unit cell a=4.7883 b=4.7883 c=4.7883 alpha=60.00 beta=60.00 gamma=60.00
With the nearest neighbours (Å) after each atom.
Fractional coordinates of all 3 atoms:
Nd: 0.0000 0.0000 0.0000  4 Pd 2.93
Hf: 0.5000 0.5000 0.5000  4 Pd 2.93
Pd: 0.7500 0.7500 0.7500  4 Hf 2.93, 4 Nd 2.93